[1]
{"formula": "Ac2CeTe2N2", "functional": "GGA-PBE", "state": "relaxed", "e_form_raw_ev_per_fu": -10.26, "space_group": "I4/mmm (139)", "magmom_total_mub_per_fu": 0.000, "lattice_angstrom": [[4.586, 0.000, 0.000], [0.000, 4.586, 0.000], [-2.293, -2.293, 8.618]], "species": ["Ac", "Ac", "Ce", "Te", "Te", "N", "N"], "frac_coords": [[0.391, 0.391, 0.782], [0.609, 0.609, 0.218], [0.000, 0.000, 0.000], [0.183, 0.183, 0.367], [0.817, 0.817, 0.633], [0.000, 0.500, 0.000], [0.500, 0.000, 0.000]]}

=====

[2]
{"formula": "Ac4Ce3ThN8", "functional": "GGA-PBE", "state": "relaxed", "e_form_raw_ev_per_fu": -20.81, "space_group": "R-3m (166)", "magmom_total_mub_per_fu": 0.000, "lattice_angstrom": [[7.427, 0.000, 0.000], [0.000, 7.515, 0.056], [-3.714, -3.710, 5.255]], "species": ["Ac", "Ac", "Ac", "Ac", "Ce", "Ce", "Ce", "Th", "N", "N", "N", "N", "N", "N", "N", "N"], "frac_coords": [[0.500, 0.000, 0.000], [0.500, 0.000, 0.500], [0.000, 0.000, 0.000], [0.000, 0.000, 0.500], [0.500, 0.500, 0.000], [0.500, 0.500, 0.500], [0.000, 0.500, 0.500], [0.000, 0.500, 0.000], [0.239, 0.714, 0.975], [0.239, 0.714, 0.477], [0.262, 0.287, 0.525], [0.737, 0.714, 0.975], [0.263, 0.286, 0.025], [0.738, 0.713, 0.475], [0.761, 0.286, 0.523], [0.761, 0.286, 0.025]]}

=====

[3]
{"formula": "Ac2CeThN4", "functional": "GGA-PBE", "state": "relaxed", "e_form_raw_ev_per_fu": -10.60, "space_group": "P2/m (10)", "magmom_total_mub_per_fu": 0.175, "lattice_angstrom": [[3.734, 0.000, 0.000], [0.000, 6.453, 0.112], [0.000, -2.257, 6.159]], "species": ["Ac", "Ac", "Ce", "Th", "N", "N", "N", "N"], "frac_coords": [[0.500, 0.000, 0.500], [0.000, 0.500, 0.500], [0.500, 0.500, 0.000], [0.000, 0.000, 0.000], [0.500, 0.239, 0.214], [0.500, 0.761, 0.786], [0.000, 0.262, 0.786], [0.000, 0.738, 0.214]]}

=====

[4]
{"formula": "Ac4CeTh3N8", "functional": "GGA-PBE", "state": "relaxed", "e_form_raw_ev_per_fu": -21.62, "space_group": "R-3m (166)", "magmom_total_mub_per_fu": 0.395, "lattice_angstrom": [[-1.699, -5.461, 4.826], [-0.683, -4.876, -5.758], [6.345, 3.881, 0.824]], "species": ["Ac", "Ac", "Ac", "Ac", "Ce", "Th", "Th", "Th", "N", "N", "N", "N", "N", "N", "N", "N"], "frac_coords": [[0.500, 0.000, 0.000], [0.500, 0.000, 0.500], [0.000, 0.000, 0.000], [0.000, 0.000, 0.500], [0.000, 0.500, 0.000], [0.500, 0.500, 0.000], [0.500, 0.500, 0.500], [0.000, 0.500, 0.500], [0.238, 0.714, 0.976], [0.238, 0.714, 0.476], [0.262, 0.286, 0.524], [0.738, 0.714, 0.976], [0.262, 0.286, 0.024], [0.738, 0.714, 0.476], [0.762, 0.286, 0.524], [0.762, 0.286, 0.024]]}

=====

[5]
{"formula": "AcCe3Th2N6", "functional": "GGA-PBE", "state": "relaxed", "e_form_raw_ev_per_fu": -17.36, "space_group": "C2/m (12)", "magmom_total_mub_per_fu": 0.001, "lattice_angstrom": [[6.335, 0.000, 0.002], [-3.166, 5.487, 0.002], [-1.056, -1.828, 5.960]], "species": ["Ac", "Ce", "Ce", "Ce", "Th", "Th", "N", "N", "N", "N", "N", "N"], "frac_coords": [[0.000, 0.000, 0.000], [0.167, 0.833, 0.500], [0.833, 0.167, 0.500], [0.500, 0.500, 0.500], [0.333, 0.667, 0.000], [0.667, 0.333, 0.000], [0.913, 0.558, 0.739], [0.731, 0.731, 0.259], [0.087, 0.442, 0.261], [0.558, 0.913, 0.739], [0.269, 0.269, 0.741], [0.442, 0.087, 0.261]]}

=====

[6]
{"formula": "Ac3CeTh2N6", "functional": "GGA-PBE", "state": "relaxed", "e_form_raw_ev_per_fu": -16.11, "space_group": "C2/m (12)", "magmom_total_mub_per_fu": 0.003, "lattice_angstrom": [[-2.708, -4.882, -3.276], [6.359, 1.099, -0.504], [-0.180, -2.537, 6.064]], "species": ["Ac", "Ac", "Ac", "Ce", "Th", "Th", "N", "N", "N", "N", "N", "N"], "frac_coords": [[0.165, 0.835, 0.500], [0.835, 0.165, 0.500], [0.500, 0.500, 0.500], [0.000, 0.000, 0.000], [0.333, 0.667, 0.000], [0.667, 0.333, 0.000], [0.929, 0.597, 0.787], [0.739, 0.739, 0.214], [0.071, 0.403, 0.213], [0.597, 0.929, 0.787], [0.261, 0.261, 0.786], [0.403, 0.071, 0.213]]}

=====

[7]
{"formula": "AcCe2ThN4", "functional": "GGA-PBE", "state": "relaxed", "e_form_raw_ev_per_fu": -11.14, "space_group": "P2/m (10)", "magmom_total_mub_per_fu": 0.538, "lattice_angstrom": [[3.661, 0.000, 0.000], [0.000, 6.364, -0.125], [0.000, 2.241, 5.974]], "species": ["Ac", "Ce", "Ce", "Th", "N", "N", "N", "N"], "frac_coords": [[0.000, 0.500, 0.500], [0.000, 0.000, 0.000], [0.500, 0.000, 0.500], [0.500, 0.500, 0.000], [0.000, 0.759, 0.763], [0.000, 0.241, 0.237], [0.500, 0.772, 0.223], [0.500, 0.228, 0.777]]}

=====

[8]
{"formula": "Ac4Ce3TiN8", "functional": "GGA-PBE", "state": "relaxed", "e_form_raw_ev_per_fu": -19.04, "space_group": "R-3m (166)", "magmom_total_mub_per_fu": 0.000, "lattice_angstrom": [[-4.706, -2.695, 4.756], [4.480, -5.722, 1.190], [2.532, 6.702, 0.834]], "species": ["Ac", "Ac", "Ac", "Ac", "Ce", "Ce", "Ce", "Ti", "N", "N", "N", "N", "N", "N", "N", "N"], "frac_coords": [[0.500, 0.000, 0.000], [0.500, 0.000, 0.500], [0.000, 0.000, 0.000], [0.000, 0.000, 0.500], [0.500, 0.500, 0.000], [0.500, 0.500, 0.500], [0.000, 0.500, 0.500], [0.000, 0.500, 0.000], [0.224, 0.703, 0.980], [0.224, 0.703, 0.447], [0.264, 0.290, 0.527], [0.756, 0.703, 0.980], [0.244, 0.297, 0.020], [0.736, 0.710, 0.473], [0.776, 0.297, 0.553], [0.776, 0.297, 0.020]]}

=====

[9]
{"formula": "AcCeTiN4", "functional": "GGA-PBE", "state": "relaxed", "e_form_raw_ev_per_fu": -8.16, "space_group": "Cmcm (63)", "magmom_total_mub_per_fu": 0.000, "lattice_angstrom": [[5.585, 0.000, 0.000], [0.000, 5.650, 0.000], [-2.793, 0.000, 6.462]], "species": ["Ac", "Ac", "Ce", "Ce", "Ti", "Ti", "N", "N", "N", "N", "N", "N", "N", "N"], "frac_coords": [[0.607, 0.750, 0.213], [0.393, 0.250, 0.787], [0.107, 0.250, 0.213], [0.893, 0.750, 0.787], [0.261, 0.750, 0.522], [0.739, 0.250, 0.478], [0.940, 0.250, 0.880], [0.411, 0.750, 0.822], [0.060, 0.750, 0.120], [0.589, 0.250, 0.178], [0.500, 0.500, 0.500], [0.000, 0.000, 0.500], [0.500, 0.000, 0.500], [0.000, 0.500, 0.500]]}

=====

[10]
{"formula": "Ac2CeUN5", "functional": "GGA-PBE", "state": "relaxed", "e_form_raw_ev_per_fu": -11.25, "space_group": "P4/mmm (123)", "magmom_total_mub_per_fu": 0.838, "lattice_angstrom": [[-2.939, -0.099, -2.998], [2.999, -0.160, -2.935], [-0.098, -9.184, 0.400]], "species": ["Ac", "Ac", "Ce", "U", "N", "N", "N", "N", "N"], "frac_coords": [[0.500, 0.500, 0.272], [0.500, 0.500, 0.728], [0.000, 0.000, 0.000], [0.000, 0.000, 0.500], [0.000, 0.500, 0.500], [0.500, 0.000, 0.500], [0.000, 0.000, 0.752], [0.000, 0.000, 0.248], [0.500, 0.500, 0.000]]}

=====

[11]
{"formula": "Ac3Ce2UN6", "functional": "GGA-PBE", "state": "relaxed", "e_form_raw_ev_per_fu": -15.60, "space_group": "C2/m (12)", "magmom_total_mub_per_fu": 0.002, "lattice_angstrom": [[6.322, 0.003, 0.002], [-3.157, 5.477, 0.002], [-1.053, -1.824, 6.121]], "species": ["Ac", "Ac", "Ac", "Ce", "Ce", "U", "N", "N", "N", "N", "N", "N"], "frac_coords": [[0.168, 0.832, 0.500], [0.832, 0.168, 0.500], [0.500, 0.500, 0.500], [0.334, 0.666, 0.000], [0.666, 0.334, 0.000], [0.000, 0.000, 0.000], [0.935, 0.628, 0.805], [0.758, 0.758, 0.202], [0.065, 0.372, 0.195], [0.628, 0.935, 0.805], [0.242, 0.242, 0.798], [0.372, 0.065, 0.195]]}

=====

[12]
{"formula": "Ac2Ce3UN6", "functional": "GGA-PBE", "state": "relaxed", "e_form_raw_ev_per_fu": -15.73, "space_group": "C2/m (12)", "magmom_total_mub_per_fu": 0.912, "lattice_angstrom": [[6.373, -0.009, -0.002], [-3.192, 5.516, -0.002], [-1.063, -1.840, 5.884]], "species": ["Ac", "Ac", "Ce", "Ce", "Ce", "U", "N", "N", "N", "N", "N", "N"], "frac_coords": [[0.333, 0.667, 0.000], [0.667, 0.333, 0.000], [0.163, 0.837, 0.500], [0.837, 0.163, 0.500], [0.500, 0.500, 0.500], [0.000, 0.000, 0.000], [0.917, 0.638, 0.756], [0.795, 0.795, 0.257], [0.083, 0.362, 0.244], [0.638, 0.917, 0.756], [0.205, 0.205, 0.743], [0.362, 0.083, 0.244]]}

=====

[13]
{"formula": "AcCeUN4", "functional": "GGA-PBE", "state": "relaxed", "e_form_raw_ev_per_fu": -8.96, "space_group": "Cmcm (63)", "magmom_total_mub_per_fu": 1.030, "lattice_angstrom": [[-0.781, 0.210, 5.986], [3.907, -4.574, 0.670], [5.305, 4.165, -2.502]], "species": ["Ac", "Ac", "Ce", "Ce", "U", "U", "N", "N", "N", "N", "N", "N", "N", "N"], "frac_coords": [[0.602, 0.750, 0.204], [0.398, 0.250, 0.796], [0.100, 0.250, 0.200], [0.900, 0.750, 0.800], [0.248, 0.750, 0.496], [0.752, 0.250, 0.504], [0.929, 0.250, 0.859], [0.415, 0.750, 0.829], [0.071, 0.750, 0.141], [0.585, 0.250, 0.171], [0.500, 0.500, 0.500], [0.000, 0.000, 0.500], [0.500, 0.000, 0.500], [0.000, 0.500, 0.500]]}

=====

[14]
{"formula": "AcCe2VN4", "functional": "GGA-PBE", "state": "relaxed", "e_form_raw_ev_per_fu": -9.89, "space_group": "Cmcm (63)", "magmom_total_mub_per_fu": 2.245, "lattice_angstrom": [[-1.371, 1.832, -2.703], [-4.733, -0.981, 4.057], [2.686, 10.312, 5.626]], "species": ["Ac", "Ac", "Ce", "Ce", "Ce", "Ce", "V", "V", "N", "N", "N", "N", "N", "N", "N", "N"], "frac_coords": [[0.091, 0.182, 0.750], [0.909, 0.818, 0.250], [0.368, 0.736, 0.545], [0.632, 0.264, 0.045], [0.632, 0.264, 0.455], [0.368, 0.736, 0.955], [0.830, 0.659, 0.750], [0.170, 0.341, 0.250], [0.261, 0.522, 0.126], [0.739, 0.478, 0.626], [0.739, 0.478, 0.874], [0.261, 0.522, 0.374], [0.000, 0.000, 0.500], [0.000, 0.000, 0.000], [0.415, 0.831, 0.750], [0.585, 0.169, 0.250]]}

=====

[15]
{"formula": "AcCeVN3", "functional": "GGA-PBE", "state": "relaxed", "e_form_raw_ev_per_fu": -7.38, "space_group": "C2/m (12)", "magmom_total_mub_per_fu": 0.000, "lattice_angstrom": [[3.867, 0.000, 0.000], [-1.933, 6.737, 0.033], [0.000, -1.983, 7.006]], "species": ["Ac", "Ac", "Ce", "Ce", "V", "V", "N", "N", "N", "N", "N", "N"], "frac_coords": [[0.360, 0.719, 0.927], [0.640, 0.281, 0.073], [0.652, 0.305, 0.572], [0.348, 0.695, 0.428], [0.997, 0.995, 0.299], [0.003, 0.005, 0.701], [0.846, 0.691, 0.195], [0.839, 0.678, 0.647], [0.502, 0.005, 0.282], [0.161, 0.322, 0.353], [0.498, 0.995, 0.718], [0.154, 0.309, 0.805]]}

=====

[16]
{"formula": "Ac2CeWN4", "functional": "GGA-PBE", "state": "relaxed", "e_form_raw_ev_per_fu": -5.89, "space_group": "Cmcm (63)", "magmom_total_mub_per_fu": 1.070, "lattice_angstrom": [[-2.041, 2.846, -0.444], [-1.893, -4.239, -4.443], [-8.894, -5.037, 8.595]], "species": ["Ac", "Ac", "Ac", "Ac", "Ce", "Ce", "W", "W", "N", "N", "N", "N", "N", "N", "N", "N"], "frac_coords": [[0.366, 0.733, 0.541], [0.634, 0.267, 0.041], [0.634, 0.267, 0.459], [0.366, 0.733, 0.959], [0.077, 0.153, 0.750], [0.923, 0.847, 0.250], [0.815, 0.629, 0.750], [0.185, 0.371, 0.250], [0.283, 0.566, 0.141], [0.717, 0.434, 0.641], [0.717, 0.434, 0.859], [0.283, 0.566, 0.359], [0.000, 0.000, 0.500], [0.000, 0.000, 0.000], [0.417, 0.834, 0.750], [0.583, 0.166, 0.250]]}

=====

[17]
{"formula": "AcCeWN4", "functional": "GGA-PBE", "state": "relaxed", "e_form_raw_ev_per_fu": -7.58, "space_group": "Cmcm (63)", "magmom_total_mub_per_fu": 0.578, "lattice_angstrom": [[-4.924, 2.327, 1.453], [0.722, -1.809, 5.342], [5.503, 4.361, 0.733]], "species": ["Ac", "Ac", "Ce", "Ce", "W", "W", "N", "N", "N", "N", "N", "N", "N", "N"], "frac_coords": [[0.607, 0.750, 0.213], [0.393, 0.250, 0.787], [0.102, 0.250, 0.204], [0.898, 0.750, 0.796], [0.261, 0.750, 0.522], [0.739, 0.250, 0.478], [0.931, 0.250, 0.863], [0.410, 0.750, 0.821], [0.069, 0.750, 0.137], [0.590, 0.250, 0.179], [0.500, 0.500, 0.500], [0.000, 0.000, 0.500], [0.500, 0.000, 0.500], [0.000, 0.500, 0.500]]}

=====

[18]
{"formula": "AcCe2WN4", "functional": "GGA-PBE", "state": "relaxed", "e_form_raw_ev_per_fu": -8.24, "space_group": "Cmcm (63)", "magmom_total_mub_per_fu": 0.000, "lattice_angstrom": [[3.549, 0.000, 0.000], [-1.774, 6.146, 0.000], [0.000, 0.000, 12.207]], "species": ["Ac", "Ac", "Ce", "Ce", "Ce", "Ce", "W", "W", "N", "N", "N", "N", "N", "N", "N", "N"], "frac_coords": [[0.090, 0.179, 0.750], [0.910, 0.821, 0.250], [0.369, 0.738, 0.543], [0.631, 0.262, 0.043], [0.631, 0.262, 0.457], [0.369, 0.738, 0.957], [0.831, 0.662, 0.750], [0.169, 0.338, 0.250], [0.262, 0.524, 0.121], [0.738, 0.476, 0.621], [0.738, 0.476, 0.879], [0.262, 0.524, 0.379], [0.000, 0.000, 0.500], [0.000, 0.000, 0.000], [0.425, 0.849, 0.750], [0.575, 0.151, 0.250]]}

=====

[19]
{"formula": "AcCeZnN3", "functional": "GGA-PBE", "state": "relaxed", "e_form_raw_ev_per_fu": -5.36, "space_group": "P2_1/m (11)", "magmom_total_mub_per_fu": 0.000, "lattice_angstrom": [[-2.494, -2.165, 1.407], [3.148, 0.865, 6.913], [-4.947, 5.688, -0.018]], "species": ["Ac", "Ac", "Ce", "Ce", "Zn", "Zn", "N", "N", "N", "N", "N", "N"], "frac_coords": [[0.250, 0.184, 0.213], [0.750, 0.816, 0.787], [0.250, 0.651, 0.170], [0.750, 0.349, 0.830], [0.250, 0.094, 0.599], [0.750, 0.906, 0.401], [0.750, 0.858, 0.132], [0.250, 0.142, 0.868], [0.250, 0.815, 0.503], [0.750, 0.185, 0.497], [0.750, 0.429, 0.139], [0.250, 0.571, 0.861]]}

=====

[20]
{"formula": "AcCe2ZrN4", "functional": "GGA-PBE", "state": "relaxed", "e_form_raw_ev_per_fu": -10.83, "space_group": "Imma (74)", "magmom_total_mub_per_fu": 0.442, "lattice_angstrom": [[7.149, -0.023, -0.044], [-0.028, 7.149, -0.044], [-3.552, -3.555, 5.081]], "species": ["Ac", "Ac", "Ce", "Ce", "Ce", "Ce", "Zr", "Zr", "N", "N", "N", "N", "N", "N", "N", "N"], "frac_coords": [[0.000, 0.500, 0.000], [0.000, 0.500, 0.500], [0.500, 0.000, 0.000], [0.500, 0.000, 0.500], [0.000, 0.000, 0.500], [0.500, 0.500, 0.000], [0.500, 0.500, 0.500], [0.000, 0.000, 0.000], [0.253, 0.792, 0.022], [0.708, 0.247, 0.478], [0.292, 0.753, 0.522], [0.747, 0.208, 0.978], [0.741, 0.759, 0.982], [0.741, 0.759, 0.518], [0.259, 0.241, 0.482], [0.259, 0.241, 0.018]]}